No. 1
This record from Alexandria describes a relaxed Tb12Sm2Tm5 crystal. The functional is PBE-GGA.

Energy above the most stable polymorph in this dataset, meV per atom: 0

Lattice parameters (Å, degrees): 6.5577 11.3160 11.5128 96.72 110.96 122.88
Closest atoms and distances in Å follow each position.
Atoms (fractional coordinates):
Tb: 0.0358 0.2296 0.3064  4 Tb 3.38-3.49, 3 Tm 3.58-3.64, 2 Sm 3.67-3.77
Tb: 0.1809 0.5574 0.9121  6 Tb 3.30-3.49, 3 Tm 3.37-3.61, 1 Sm 3.44
Tb: 0.7718 0.6559 0.9194  2 Tm 3.28-3.42, 6 Tb 3.34-3.60, 1 Sm 3.54
Tb: 0.8637 0.7490 0.2351  4 Tm 3.38-3.50, 6 Tb 3.39-3.77
Tb: 0.4159 0.6182 0.3735  6 Tb 3.30-3.60, 4 Tm 3.36-3.51
Tb: 0.4475 0.8677 0.5854  4 Tb 3.37-3.67, 4 Tm 3.45-3.69
Tb: 0.5525 0.1323 0.4146  4 Tb 3.37-3.67, 4 Tm 3.45-3.69
Tb: 0.1363 0.2510 0.7649  4 Tm 3.38-3.50, 6 Tb 3.39-3.77
Tb: 0.5841 0.3818 0.6265  6 Tb 3.30-3.60, 4 Tm 3.36-3.51
Tb: 0.8191 0.4426 0.0879  6 Tb 3.30-3.49, 3 Tm 3.37-3.61, 1 Sm 3.44
Tb: 0.2282 0.3441 0.0806  2 Tm 3.28-3.42, 6 Tb 3.34-3.60, 1 Sm 3.54
Tb: 0.9642 0.7704 0.6936  4 Tb 3.38-3.49, 3 Tm 3.58-3.64, 2 Sm 3.67-3.77
Sm: 0.6659 0.9299 0.9610  5 Tb 3.44-3.77, 2 Sm 3.44-3.59, 2 Tm 3.55-3.56
Sm: 0.3341 0.0701 0.0390  5 Tb 3.44-3.77, 2 Sm 3.44-3.59, 2 Tm 3.55-3.56
Tm: 0.2391 0.5194 0.6196  1 Tm 3.11, 2 Tb 3.28-3.36
Tm: 0.4214 0.8340 0.1923  8 Tb 3.37-3.64, 1 Tm 3.40, 2 Sm 3.55-3.56
Tm: 0.0000 0.0000 0.5000  8 Tb 3.38-3.65, 2 Tm 3.40
Tm: 0.5786 0.1660 0.8077  8 Tb 3.37-3.64, 1 Tm 3.40, 2 Sm 3.55-3.56
Tm: 0.7609 0.4806 0.3804  1 Tm 3.11, 2 Tb 3.28-3.36

No. 2
This record from Alexandria describes a relaxed Tb12Sm5Tm2 crystal. The functional is PBE-GGA.

Lattice parameters (Å, degrees): 9.2516 9.0812 8.6512 92.04 90.00 120.62
Closest atoms and distances in Å follow each position.
Atoms (fractional coordinates):
Tb: 0.9276 0.8552 0.1246  3 Tb 3.19-3.47, 2 Sm 3.39-3.52, 2 Tm 3.43
Tb: 0.0324 0.7049 0.7612  1 Tm 3.33, 4 Tb 3.33-3.71, 4 Sm 3.52-3.69
Tb: 0.6725 0.7049 0.7612  1 Tm 3.33, 4 Tb 3.33-3.71, 4 Sm 3.52-3.69
Tb: 0.1774 0.7400 0.3253  4 Sm 3.40-3.77, 5 Tb 3.42-3.56, 1 Tm 3.54
Tb: 0.5626 0.7400 0.3253  4 Sm 3.40-3.77, 5 Tb 3.42-3.56, 1 Tm 3.54
Tb: 0.4434 0.8867 0.6615  7 Tb 3.37-3.56, 2 Sm 3.38-3.67, 2 Tm 3.41
Tb: 0.5566 0.1133 0.3385  7 Tb 3.37-3.56, 2 Sm 3.38-3.67, 2 Tm 3.41
Tb: 0.8226 0.2600 0.6747  4 Sm 3.40-3.77, 5 Tb 3.42-3.56, 1 Tm 3.54
Tb: 0.4374 0.2600 0.6747  4 Sm 3.40-3.77, 5 Tb 3.42-3.56, 1 Tm 3.54
Tb: 0.9676 0.2951 0.2388  1 Tm 3.33, 4 Tb 3.33-3.71, 4 Sm 3.52-3.69
Tb: 0.3275 0.2951 0.2388  1 Tm 3.33, 4 Tb 3.33-3.71, 4 Sm 3.52-3.69
Tb: 0.0724 0.1448 0.8754  3 Tb 3.19-3.47, 2 Sm 3.39-3.52, 2 Tm 3.43
Sm: 0.2312 0.4624 0.5701  8 Tb 3.38-3.70, 2 Sm 3.60-3.64
Sm: 0.2929 0.5859 0.9756  8 Tb 3.52-3.68, 1 Sm 3.60, 2 Tm 3.60
Sm: 0.0000 0.0000 0.5000  10 Tb 3.39-3.77, 2 Sm 3.64
Sm: 0.7071 0.4141 0.0244  8 Tb 3.52-3.68, 1 Sm 3.60, 2 Tm 3.60
Sm: 0.7688 0.5376 0.4299  8 Tb 3.38-3.70, 2 Sm 3.60-3.64
Tm: 0.6716 0.0000 0.0000  1 Tm 3.17, 8 Tb 3.33-3.54
Tm: 0.3284 0.0000 0.0000  1 Tm 3.17, 8 Tb 3.33-3.54

no.,energy of formation from the pure elements (eV/f.u.)
1,2.317
2,2.263